Below is HoZrMoO6 after structural relaxation, with properties calculated at the GGA+U level.

Summary:
VASP energy = -8.18 eV/atom
DOS(E_F) = 2.8 states/eV/f.u.

a b c (Å): 5.4144 5.4144 9.2100
angles (deg): 90.00 90.00 120.00
With the nearest neighbours (Å) after each atom.
Space group P-31c (No. 163)
One atom of each set of equivalent atoms:
Ho 0.3333 0.6667 0.2500 (multiplicity 2)  6 O 2.26
Zr 0.0000 0.0000 0.0000 (multiplicity 2)  6 O 2.15
Mo 0.3333 0.6667 0.7500 (multiplicity 2)  6 O 2.01
O 0.0366 0.3485 0.6286 (multiplicity 12)  1 Mo 2.01, 1 Zr 2.15